Compound: Y6Tl3Cd
Source: Alexandria via LeMat-Bulk
Functional: GGA-PBE
Structure: relaxed

Calculated values
Energy of formation from the pure elements, eV per atom: -0.28

Unit cell a=9.4343 b=5.3687 c=11.7279 alpha=90.00 beta=107.92 gamma=90.00
Last column: nearest neighbours and their distance in Å.
Fractional positions:
Y1 0.0367 0.2500 0.4072  6 Tl 3.21-3.46, 2 Y 3.50-3.56
Y2 0.1572 0.7500 0.1787  1 Cd 3.14, 5 Tl 3.18-3.31, 2 Y 3.48
Y3 0.2597 0.2500 0.0000  4 Tl 3.20-3.45, 3 Cd 3.26-3.33
Y4 0.3452 0.7500 0.8116  3 Cd 3.27-3.29, 3 Tl 3.36, 3 Y 3.60-3.64
Y5 0.3667 0.2500 0.3301  8 Y 3.32-3.69, 3 Tl 3.38-3.43
Y6 0.3991 0.2500 0.6199  3 Tl 3.08-3.21, 1 Cd 3.09, 3 Y 3.32-3.41
Y7 0.6009 0.7500 0.3801  3 Tl 3.08-3.21, 1 Cd 3.09, 3 Y 3.32-3.41
Y8 0.6333 0.7500 0.6699  8 Y 3.32-3.69, 3 Tl 3.38-3.43
Y9 0.6548 0.2500 0.1884  3 Cd 3.27-3.29, 3 Tl 3.36, 3 Y 3.60-3.64
Y10 0.7403 0.7500 0.0000  4 Tl 3.20-3.45, 3 Cd 3.26-3.33
Y11 0.8428 0.2500 0.8213  1 Cd 3.14, 5 Tl 3.18-3.31, 2 Y 3.48
Y12 0.9633 0.7500 0.5928  6 Tl 3.21-3.46, 2 Y 3.50-3.56
Tl1 0.0298 0.7500 0.8885  8 Y 3.18-3.45
Tl2 0.1282 0.2500 0.7136  8 Y 3.08-3.43
Tl3 0.2800 0.7500 0.4714  9 Y 3.21-3.51
Tl4 0.7200 0.2500 0.5286  9 Y 3.21-3.51
Tl5 0.8718 0.7500 0.2864  8 Y 3.08-3.43
Tl6 0.9702 0.2500 0.1115  8 Y 3.18-3.45
Cd1 0.4510 0.7500 0.1061  8 Y 3.09-3.33
Cd2 0.5490 0.2500 0.8939  8 Y 3.09-3.33

=====

Compound: Sc2TcOs
Source: Alexandria via LeMat-Bulk
Functional: GGA-PBE
Structure: relaxed

Calculated values
Energy of formation from the pure elements, eV per atom: -0.09

Unit cell a=3.2424 b=4.8245 c=8.6056 alpha=90.00 beta=90.00 gamma=90.00
Last column: nearest neighbours and their distance in Å.
Fractional positions:
Sc1 0.0000 0.0000 0.2486  2 Os 2.68, 2 Tc 2.70, 4 Sc 2.91
Sc2 0.0000 0.0000 0.7514  2 Os 2.68, 2 Tc 2.70, 4 Sc 2.91
Sc3 0.5000 0.5000 0.2486  2 Os 2.68, 2 Tc 2.70, 4 Sc 2.91
Sc4 0.5000 0.5000 0.7514  2 Os 2.68, 2 Tc 2.70, 4 Sc 2.91
Tc1 0.0000 0.5000 0.5000  4 Sc 2.70, 4 Tc 2.91
Tc2 0.5000 0.0000 0.5000  4 Sc 2.70, 4 Tc 2.91
Os1 0.0000 0.5000 0.0000  4 Sc 2.68, 4 Os 2.91
Os2 0.5000 0.0000 0.0000  4 Sc 2.68, 4 Os 2.91

=====

Compound: CdOsO2
Source: Alexandria via LeMat-Bulk
Functional: GGA-PBE
Structure: relaxed

Calculated values
Formation energy without anion corrections, eV/atom: -0.46

Unit cell a=2.8287 b=2.8287 c=23.1563 alpha=90.00 beta=90.00 gamma=120.00
Last column: nearest neighbours and their distance in Å.
Fractional positions:
Cd1 0.0000 0.0000 0.0000  2 O 2.56, 6 Cd 2.83
Cd2 0.3333 0.6667 0.6667  2 O 2.56, 6 Cd 2.83
Cd3 0.6667 0.3333 0.3333  2 O 2.56, 6 Cd 2.83
Os1 0.0000 0.0000 0.5000  6 O 2.08
Os2 0.3333 0.6667 0.1667  6 O 2.08
Os3 0.6667 0.3333 0.8333  6 O 2.08
O1 0.0000 0.0000 0.1107  3 Os 2.08
O2 0.0000 0.0000 0.8893  3 Os 2.08
O3 0.3333 0.6667 0.5560  3 Os 2.08
O4 0.3333 0.6667 0.7774  3 Os 2.08
O5 0.6667 0.3333 0.2226  3 Os 2.08
O6 0.6667 0.3333 0.4440  3 Os 2.08

=====

Compound: Cs3DyAg2Cl8
Source: Alexandria via LeMat-Bulk
Functional: GGA-PBE
Structure: relaxed

Calculated values
Formation energy without anion corrections, eV/atom: -1.64

Unit cell a=7.5499 b=7.5499 c=10.1813 alpha=90.00 beta=90.00 gamma=120.00
Last column: nearest neighbours and their distance in Å.
Fractional positions:
Cs1 0.0000 0.0000 0.0000  12 Cl 4.12-4.38
Cs2 0.3333 0.6667 0.6377  1 Cl 3.28
Cs3 0.6667 0.3333 0.3623  1 Cl 3.28
Dy1 0.0000 0.0000 0.5000  6 Cl 2.64
Ag1 0.3333 0.6667 0.1962  1 Cl 2.41
Ag2 0.6667 0.3333 0.8038  1 Cl 2.41
Cl1 0.1628 0.3256 0.3467  1 Dy 2.64, 1 Ag 2.71
Cl2 0.1628 0.8372 0.3467  1 Dy 2.64, 1 Ag 2.71
Cl3 0.3256 0.1628 0.6533  1 Dy 2.64, 1 Ag 2.71
Cl4 0.3333 0.6667 0.9596  1 Ag 2.41
Cl5 0.6667 0.3333 0.0404  1 Ag 2.41
Cl6 0.6744 0.8372 0.3467  1 Dy 2.64, 1 Ag 2.71
Cl7 0.8372 0.1628 0.6533  1 Dy 2.64, 1 Ag 2.71
Cl8 0.8372 0.6744 0.6533  1 Dy 2.64, 1 Ag 2.71

=====

| no. | volume (A^3/atom) | total magnetization (μB per cell) | final energy (eV/cell) |
| --- | --- | --- | --- |
| 1 | 28.26 | 1.33 | -99.231 |
| 2 | 16.83 | 0.00 | -69.276 |
| 3 | 13.37 | 0.00 | -71.703 |
| 4 | 35.90 | 0.00 | -50.529 |